# PaBiTe, optimized geometry, DFT PBE-GGA
# - total DFT energy (no corrections) (eV per atom) = -5.895
# - crystal system = monoclinic
# - energy relative to the elements, uncorrected (meV per atom) = -389
data_PaBiTe
_chemical_formula_sum 'Pa4 Bi4 Te4'
_cell_length_a 5.8558
_cell_length_b 10.3064
_cell_length_c 6.4572
_cell_angle_alpha 90.00
_cell_angle_beta 108.69
_cell_angle_gamma 90.00
_symmetry_space_group_name_H-M 'P 1 21/c 1'
_symmetry_Int_Tables_number 14
_symmetry_space_group_name_Hall '-P 2ybc'
loop_
_atom_site_label
_atom_site_type_symbol
_atom_site_fract_x
_atom_site_fract_y
_atom_site_fract_z
Pa1 Pa 0.1507 0.1254 0.3867
Bi1 Bi 0.2554 0.0682 0.9208
Te1 Te 0.2782 0.6707 0.9404

---

# Pa6BiTe12, optimized geometry, DFT PBE-GGA
# - total DFT energy (no corrections) (eV per atom) = -5.754
# - crystal system = trigonal
# - energy relative to the elements, uncorrected (meV per atom) = -567
data_Pa6BiTe12
_chemical_formula_sum 'Pa18 Bi3 Te36'
_cell_length_a 14.1847
_cell_length_b 14.1847
_cell_length_c 11.1708
_cell_angle_alpha 90.00
_cell_angle_beta 90.00
_cell_angle_gamma 120.00
_symmetry_space_group_name_H-M 'R -3 m'
_symmetry_Int_Tables_number 166
_symmetry_space_group_name_Hall '-R 3 2"'
loop_
_atom_site_label
_atom_site_type_symbol
_atom_site_fract_x
_atom_site_fract_y
_atom_site_fract_z
Pa1 Pa 0.0527 0.5264 0.2678
Bi1 Bi 0.0000 0.0000 0.0000
Te1 Te 0.0000 0.3758 0.5000
Te2 Te 0.0876 0.1751 0.3521